CaUMnN3 | PBE-GGA | optimized geometry

Unit cell a=7.1808 b=3.3773 c=7.2156 alpha=90.00 beta=102.74 gamma=90.00
Space group P2_1/m (No. 11)
Inequivalent atoms, fractional coordinates:
Ca 0.2124 0.2500 0.1825
U 0.1784 0.2500 0.6663
Mn 0.4215 0.7500 0.9140
N 0.1381 0.7500 0.4519
N 0.1418 0.7500 0.8576
N 0.4737 0.7500 0.1848

Computed properties:
E: -105.91 eV/cell
Calculated volume: 14.22 Å³/atom
Crystal system: monoclinic
M_tot: 0.000 μB/atom
DOS at the Fermi energy: 0.31 states/eV per atom
Energy relative to the elements, uncorrected: -5.5 eV per formula unit